## CuAgCl2 (PBE)

Data for a relaxed CuAgCl2 crystal.

As for the spin magnetization: 0.00 μB/cell. Its raw formation energy is -0.422 eV per atom. The value obtained for the density of states at the Fermi level is 0.008 states/eV per atom. As for the space group: Pc.

Cell: 3.9399 6.3084 7.3195 Å, 89.96 89.96 89.74°
Positions (direct):
Cu: 0.1999 0.8758 0.1957
Cu: 0.6999 0.3759 0.0201
Cl: 0.7032 0.6758 0.2088
Cl: 0.2017 0.0629 0.4847
Cl: 0.7020 0.5632 0.7311
Cl: 0.2031 0.1760 0.0071
Ag: 0.1992 0.8189 0.7989
Ag: 0.6989 0.3182 0.4174

## FeRe2Se (PBE)

Data for a relaxed FeRe2Se crystal.

As for the spin magnetization: 0.33 μB/cell. Its raw formation energy is 0.429 eV per atom. The value obtained for the density of states at the Fermi level is 0.661 states/eV per atom. As for the space group: Imm2.

Cell: 5.0614 5.0614 5.0614 Å, 146.30 129.13 62.42°
Positions (direct):
Se: 0.4884 0.4884 0.0000
Re: 0.0044 0.0044 0.0000
Re: 0.7309 0.2309 0.5000
Fe: 0.2763 0.7763 0.5000

## Sc3CdPd12 (PBE)

Data for a relaxed Sc3CdPd12 crystal.

The energy relative to the elements is -693.1 meV per atom. As for the spin magnetization: 0.00 μB/cell. The value obtained for the density of states at the Fermi level is 1.035 states/eV per atom. As for the space group: P4/mmm.

Cell: 4.0043 4.0043 16.1338 Å, 90.00 90.00 90.00°
Positions (direct):
Cd: 0.0000 0.0000 0.0000
Pd: 0.5000 0.0000 0.6240
Pd: 0.5000 0.0000 0.1284
Pd: 0.5000 0.5000 0.7475
Pd: 0.5000 0.5000 0.5000
Pd: 0.5000 0.0000 0.8716
Pd: 0.0000 0.5000 0.1284
Pd: 0.5000 0.5000 0.0000
Pd: 0.0000 0.5000 0.3760
Pd: 0.0000 0.5000 0.8716
Pd: 0.5000 0.5000 0.2525
Pd: 0.0000 0.5000 0.6240
Pd: 0.5000 0.0000 0.3760
Sc: 0.0000 0.0000 0.5000
Sc: 0.0000 0.0000 0.2498
Sc: 0.0000 0.0000 0.7502

Copy entry 1 word for word.
## CuAgCl2 (PBE)

Data for a relaxed CuAgCl2 crystal.

As for the spin magnetization: 0.00 μB/cell. Its raw formation energy is -0.422 eV per atom. The value obtained for the density of states at the Fermi level is 0.008 states/eV per atom. As for the space group: Pc.

Cell: 3.9399 6.3084 7.3195 Å, 89.96 89.96 89.74°
Positions (direct):
Cu: 0.1999 0.8758 0.1957
Cu: 0.6999 0.3759 0.0201
Cl: 0.7032 0.6758 0.2088
Cl: 0.2017 0.0629 0.4847
Cl: 0.7020 0.5632 0.7311
Cl: 0.2031 0.1760 0.0071
Ag: 0.1992 0.8189 0.7989
Ag: 0.6989 0.3182 0.4174

spin magnetization of number 3 (Sc3CdPd12)? 0.00 μB/cell

Which value of spin magnetization does entry 3 give? 0.00 μB/cell

Which value of spin magnetization does entry 1 give? 0.00 μB/cell